A plane-wave DFT calculation with PBE was carried out for a geometry-optimized PaAl2AgAu2 structure.

ΔE_f: -349 meV per atom
Total moment: 0.00 μB per formula unit
SG: P-3m1, No. 164
Crystal system: trigonal

Geometry as POSCAR:
```
PaAl2AgAu2
1.0
4.436 0.000 0.000
-2.218 3.841 0.000
0.000 0.000 6.826
Pa Al Ag Au
1 2 1 2
Direct
0.000 0.000 0.000
0.333 0.667 0.679
0.667 0.333 0.321
0.000 0.000 0.500
0.333 0.667 0.248
0.667 0.333 0.752
```